# LiTmPdPt PBE relaxed
# N(E_F)	0.578	states/eV/cell
# calculated volume	17.58	Å³/atom
# crystal system	cubic
# ΔE_f	-0.8850	eV/atom
# VASP energy	-5.29	eV per atom
data_LiTmPdPt
_symmetry_space_group_name_H-M 'F -4 3 m'
_symmetry_Int_Tables_number 216
_symmetry_space_group_name_Hall 'F -4 2 3'
_cell_length_a 6.5522
_cell_length_b 6.5522
_cell_length_c 6.5522
_cell_angle_alpha 90.00
_cell_angle_beta 90.00
_cell_angle_gamma 90.00
loop_
_atom_site_label
_atom_site_type_symbol
_atom_site_fract_x
_atom_site_fract_y
_atom_site_fract_z
Li1 Li 0.0000 0.0000 0.0000
Tm1 Tm 0.0000 0.0000 0.5000
Pd1 Pd 0.2500 0.2500 0.7500
Pt1 Pt 0.2500 0.2500 0.2500